# MnMo2Os | the Alexandria database | PBE | optimized geometry
# offset from the most stable computed form	0.052	eV per atom
# V	58	Å³ per cell
# energy relative to the elements	142	meV per atom
# total magnetization	0.00	μB/f.u.
data_MnMo2Os
_chemical_formula_sum 'Mn1 Mo2 Os1'
_space_group_name_H-M_alt 'P 4 m m'
_space_group_IT_number 99
_space_group_name_Hall 'P 4 -2'
_cell_length_a 2.6924
_cell_length_b 2.6924
_cell_length_c 7.9683
_cell_angle_alpha 90.00
_cell_angle_beta 90.00
_cell_angle_gamma 90.00
loop_
_atom_site_label
_atom_site_type_symbol
_atom_site_fract_x
_atom_site_fract_y
_atom_site_fract_z
Mn1 Mn 0.0000 0.0000 0.0000
Mo1 Mo 0.0000 0.0000 0.5284
Mo2 Mo 0.5000 0.5000 0.2422
Os1 Os 0.5000 0.5000 0.7973

***

# AsPBr2 | the Alexandria database | PBE | optimized geometry
# offset from the most stable computed form	1.046	eV per atom
# energy relative to the elements, uncorrected	0.88	eV per atom
# V	171	Å³ per cell
# total magnetization	0.00	μB/f.u.
data_AsPBr2
_chemical_formula_sum 'As2 P2 Br4'
_space_group_name_H-M_alt 'C m m m'
_space_group_IT_number 65
_space_group_name_Hall '-C 2 2'
_cell_length_a 6.5271
_cell_length_b 8.1344
_cell_length_c 3.2293
_cell_angle_alpha 90.00
_cell_angle_beta 90.00
_cell_angle_gamma 90.00
loop_
_atom_site_label
_atom_site_type_symbol
_atom_site_fract_x
_atom_site_fract_y
_atom_site_fract_z
As1 As 0.0000 0.0000 0.0000
P1 P 0.0000 0.5000 0.0000
Br1 Br 0.2500 0.2500 0.5000

***

# SrSc3Tc | the Alexandria database | PBE | optimized geometry
# offset from the most stable computed form	0.000	eV per atom
# V	139	Å³ per cell
# energy relative to the elements	20	meV per atom
# total magnetization	0.00	μB/f.u.
data_SrSc3Tc
_chemical_formula_sum 'Sr1 Sc3 Tc1'
_space_group_name_H-M_alt 'P m -3 m'
_space_group_IT_number 221
_space_group_name_Hall '-P 4 2 3'
_cell_length_a 5.1753
_cell_length_b 5.1753
_cell_length_c 5.1753
_cell_angle_alpha 90.00
_cell_angle_beta 90.00
_cell_angle_gamma 90.00
loop_
_atom_site_label
_atom_site_type_symbol
_atom_site_fract_x
_atom_site_fract_y
_atom_site_fract_z
Sr1 Sr 0.0000 0.0000 0.0000
Sc1 Sc 0.0000 0.5000 0.5000
Tc1 Tc 0.5000 0.5000 0.5000

***

# Mg2AlTc | the Alexandria database | PBE | optimized geometry
# V	67	Å³ per cell
# energy relative to the elements	41	meV per atom
# total magnetization	1.21	μB/f.u.
data_Mg2AlTc
_chemical_formula_sum 'Mg2 Al1 Tc1'
_space_group_name_H-M_alt 'P 4/m m m'
_space_group_IT_number 123
_space_group_name_Hall '-P 4 2'
_cell_length_a 3.9559
_cell_length_b 3.9559
_cell_length_c 4.2908
_cell_angle_alpha 90.00
_cell_angle_beta 90.00
_cell_angle_gamma 90.00
loop_
_atom_site_label
_atom_site_type_symbol
_atom_site_fract_x
_atom_site_fract_y
_atom_site_fract_z
Mg1 Mg 0.0000 0.5000 0.0000
Al1 Al 0.0000 0.0000 0.5000
Tc1 Tc 0.5000 0.5000 0.5000

***

# SmDy2Ag2 | the Alexandria database | PBE | optimized geometry
# offset from the most stable computed form	0.000	eV per atom
# V	523	Å³ per cell
# energy relative to the elements	-228	meV per atom
# total magnetization	0.00	μB/f.u.
data_SmDy2Ag2
_chemical_formula_sum 'Sm4 Dy8 Ag8'
_space_group_name_H-M_alt 'C m c m'
_space_group_IT_number 63
_space_group_name_Hall '-C 2c 2'
_cell_length_a 3.6569
_cell_length_b 26.9692
_cell_length_c 5.3030
_cell_angle_alpha 90.00
_cell_angle_beta 90.00
_cell_angle_gamma 90.00
loop_
_atom_site_label
_atom_site_type_symbol
_atom_site_fract_x
_atom_site_fract_y
_atom_site_fract_z
Sm1 Sm 0.0000 0.1452 0.2500
Dy1 Dy 0.0000 0.0478 0.7500
Dy2 Dy 0.0000 0.2348 0.7500
Ag1 Ag 0.0000 0.3574 0.2500
Ag2 Ag 0.0000 0.4550 0.7500

***

# AgAu2Br | the Alexandria database | PBE | optimized geometry
# offset from the most stable computed form	0.158	eV per atom
# energy relative to the elements, uncorrected	0.19	eV per atom
# V	163	Å³ per cell
# total magnetization	0.00	μB/f.u.
data_AgAu2Br
_chemical_formula_sum 'Ag2 Au4 Br2'
_space_group_name_H-M_alt 'C m m 2'
_space_group_IT_number 35
_space_group_name_Hall 'C 2 -2'
_cell_length_a 3.4224
_cell_length_b 5.3077
_cell_length_c 8.9656
_cell_angle_alpha 90.00
_cell_angle_beta 90.00
_cell_angle_gamma 90.00
loop_
_atom_site_label
_atom_site_type_symbol
_atom_site_fract_x
_atom_site_fract_y
_atom_site_fract_z
Ag1 Ag 0.0000 0.0000 0.0000
Au1 Au 0.0000 0.0000 0.5132
Au2 Au 0.0000 0.5000 0.7561
Br1 Br 0.0000 0.5000 0.2475

***

# Pm4Ge8Ir | the Alexandria database | PBE | optimized geometry
# V	289	Å³ per cell
# energy relative to the elements	-642	meV per atom
# total magnetization	0.00	μB/f.u.
data_Pm4Ge8Ir
_chemical_formula_sum 'Pm4 Ge8 Ir1'
_space_group_name_H-M_alt 'P m m 2'
_space_group_IT_number 25
_space_group_name_Hall 'P 2 -2'
_cell_length_a 4.1035
_cell_length_b 4.2409
_cell_length_c 16.6143
_cell_angle_alpha 90.00
_cell_angle_beta 90.00
_cell_angle_gamma 90.00
loop_
_atom_site_label
_atom_site_type_symbol
_atom_site_fract_x
_atom_site_fract_y
_atom_site_fract_z
Pm1 Pm 0.0000 0.0000 0.0000
Pm2 Pm 0.0000 0.5000 0.4935
Pm3 Pm 0.5000 0.0000 0.7903
Pm4 Pm 0.5000 0.5000 0.2866
Ge1 Ge 0.0000 0.0000 0.3383
Ge2 Ge 0.0000 0.0000 0.6282
Ge3 Ge 0.0000 0.5000 0.1409
Ge4 Ge 0.0000 0.5000 0.8540
Ge5 Ge 0.5000 0.0000 0.1458
Ge6 Ge 0.5000 0.0000 0.4378
Ge7 Ge 0.5000 0.5000 0.6263
Ge8 Ge 0.5000 0.5000 0.9507
Ir1 Ir 0.0000 0.5000 0.7068

***

# Cu2AuBr | the Alexandria database | PBE | optimized geometry
# offset from the most stable computed form	0.169	eV per atom
# energy relative to the elements, uncorrected	0.19	eV per atom
# V	235	Å³ per cell
# total magnetization	0.00	μB/f.u.
data_Cu2AuBr
_chemical_formula_sum 'Cu6 Au3 Br3'
_space_group_name_H-M_alt 'R 3 m'
_space_group_IT_number 160
_space_group_name_Hall 'R 3 -2"'
_cell_length_a 3.8389
_cell_length_b 3.8389
_cell_length_c 18.4447
_cell_angle_alpha 90.00
_cell_angle_beta 90.00
_cell_angle_gamma 120.00
loop_
_atom_site_label
_atom_site_type_symbol
_atom_site_fract_x
_atom_site_fract_y
_atom_site_fract_z
Cu1 Cu 0.0000 0.0000 0.0000
Cu2 Cu 0.0000 0.0000 0.2739
Au1 Au 0.0000 0.0000 0.5448
Br1 Br 0.0000 0.0000 0.7431

***

# LiPaTlBr6 | the Alexandria database | PBE | optimized geometry
# energy relative to the elements, uncorrected	-1.36	eV per atom
# V	669	Å³ per cell
# total magnetization	1.01	μB/f.u.
data_LiPaTlBr6
_chemical_formula_sum 'Li2 Pa2 Tl2 Br12'
_space_group_name_H-M_alt 'P -3 1 c'
_space_group_IT_number 163
_space_group_name_Hall '-P 3 2c'
_cell_length_a 7.2529
_cell_length_b 7.2529
_cell_length_c 14.6793
_cell_angle_alpha 90.00
_cell_angle_beta 90.00
_cell_angle_gamma 120.00
loop_
_atom_site_label
_atom_site_type_symbol
_atom_site_fract_x
_atom_site_fract_y
_atom_site_fract_z
Li1 Li 0.3333 0.6667 0.2500
Pa1 Pa 0.3333 0.6667 0.7500
Tl1 Tl 0.0000 0.0000 0.0000
Br1 Br 0.0018 0.3683 0.1404

***

# CaTa3Ti | the Alexandria database | PBE | optimized geometry
# offset from the most stable computed form	0.000	eV per atom
# V	114	Å³ per cell
# energy relative to the elements	1221	meV per atom
# total magnetization	0.00	μB/f.u.
data_CaTa3Ti
_chemical_formula_sum 'Ca1 Ta3 Ti1'
_space_group_name_H-M_alt 'P m -3 m'
_space_group_IT_number 221
_space_group_name_Hall '-P 4 2 3'
_cell_length_a 4.8527
_cell_length_b 4.8527
_cell_length_c 4.8527
_cell_angle_alpha 90.00
_cell_angle_beta 90.00
_cell_angle_gamma 90.00
loop_
_atom_site_label
_atom_site_type_symbol
_atom_site_fract_x
_atom_site_fract_y
_atom_site_fract_z
Ca1 Ca 0.0000 0.0000 0.0000
Ta1 Ta 0.0000 0.5000 0.5000
Ti1 Ti 0.5000 0.5000 0.5000

***

# MoPbSe2 | the Alexandria database | PBE | optimized geometry
# energy relative to the elements, uncorrected	0.19	eV per atom
# V	189	Å³ per cell
# total magnetization	0.00	μB/f.u.
data_MoPbSe2
_chemical_formula_sum 'Mo2 Pb2 Se4'
_space_group_name_H-M_alt 'C m m m'
_space_group_IT_number 65
_space_group_name_Hall '-C 2 2'
_cell_length_a 3.3096
_cell_length_b 5.9112
_cell_length_c 9.6514
_cell_angle_alpha 90.00
_cell_angle_beta 90.00
_cell_angle_gamma 90.00
loop_
_atom_site_label
_atom_site_type_symbol
_atom_site_fract_x
_atom_site_fract_y
_atom_site_fract_z
Mo1 Mo 0.0000 0.0000 0.0000
Pb1 Pb 0.0000 0.0000 0.5000
Se1 Se 0.0000 0.5000 0.1959

***

Question: The lowest V belongs to which entry?
Answer: MnMo2Os